Entry from the Alexandria database: crystalline La6BiAs4 at its relaxed geometry (PBE). Values from VASP.

The structure in Quantum ESPRESSO input format:
```
&SYSTEM
  ibrav = 0, nat = 22, ntyp = 3
/
ATOMIC_SPECIES
La 138.91 La.upf
As 74.92 As.upf
Bi 208.98 Bi.upf
CELL_PARAMETERS angstrom
-1.0005 -4.0537 1.4365
2.0885 -0.6537 -7.1765
21.0729 -2.9334 6.3999
ATOMIC_POSITIONS crystal
La 0.9586 0.9172 0.6591
La 0.6671 0.3342 0.7500
La 0.7726 0.5453 0.0816
La 0.2274 0.4547 0.9184
La 0.0414 0.0828 0.1591
La 0.5000 0.0000 0.5000
La 0.2274 0.4547 0.5816
La 0.5000 0.0000 0.0000
La 0.9586 0.9172 0.8409
La 0.3329 0.6658 0.2500
La 0.7726 0.5453 0.4184
La 0.0414 0.0828 0.3409
As 0.8623 0.7247 0.9585
As 0.8623 0.7247 0.5415
As 0.5917 0.1834 0.6254
As 0.4083 0.8166 0.3746
As 0.4083 0.8166 0.1254
As 0.5917 0.1834 0.8746
As 0.1377 0.2753 0.4585
As 0.1377 0.2753 0.0415
Bi 0.3379 0.6759 0.7500
Bi 0.6621 0.3241 0.2500
```

Values from the calculation:
The total magnetic moment comes out at 1.70 μB per cell. The calculation puts the formation energy at -1.36 eV/atom. The value obtained for the energy is -133.98 eV for the cell shown.